A relaxed structure of TaCr2Pt8. Source: Alexandria via LeMat-Bulk, functional PBE. Values from VASP.

- symmetry = No. 71
- magnetization (μB per formula unit) = 5.26
- N(E_F) (states/eV/atom) = 0.70
- DFT formation energy (meV/atom) = -363

Cell and atoms, written as Quantum ESPRESSO input:
```
&SYSTEM
  ibrav = 0, nat = 11, ntyp = 3
/
ATOMIC_SPECIES
Ta 180.95 Ta.upf
Pt 195.08 Pt.upf
Cr 52.00 Cr.upf
ATOMIC_POSITIONS angstrom
Ta 1.880 0.000 -0.571
Pt -0.664 4.914 -2.185
Pt 2.150 2.620 0.320
Pt 1.715 5.843 -1.114
Pt 1.272 0.075 4.188
Pt 2.489 5.122 1.436
Pt 3.650 1.004 5.260
Pt 0.837 3.298 2.755
Pt 0.498 0.796 1.639
Cr 2.912 1.652 2.829
Cr 0.075 4.266 0.245
CELL_PARAMETERS angstrom
3.759 0.000 -1.141
-0.921 6.821 -3.034
0.149 -0.903 7.250
```

A relaxed structure of TlZnP2. Source: Alexandria via LeMat-Bulk, functional PBE. Values from VASP.

- relative energy among the computed polymorphs (eV/atom) = 0.256
- symmetry = No. 71
- magnetization (μB per formula unit) = 0.00
- N(E_F) (states/eV/atom) = 0.44
- DFT formation energy (meV/atom) = 363

Cell and atoms, written as Quantum ESPRESSO input:
```
&SYSTEM
  ibrav = 0, nat = 4, ntyp = 3
/
ATOMIC_SPECIES
P 30.97 P.upf
Zn 65.41 Zn.upf
Tl 204.38 Tl.upf
ATOMIC_POSITIONS angstrom
P -1.768 1.487 2.007
P -0.350 0.295 0.398
Zn -0.317 -0.239 2.694
Tl 1.283 3.046 1.669
CELL_PARAMETERS angstrom
-0.518 5.067 1.380
-3.719 -1.504 3.428
5.203 -0.757 -0.446
```

A relaxed structure of LuPuReRu. Source: Alexandria via LeMat-Bulk, functional PBE. Values from VASP.

- symmetry = No. 216
- magnetization (μB per formula unit) = 3.77
- N(E_F) (states/eV/atom) = 1.16
- DFT formation energy (meV/atom) = -61

Cell and atoms, written as Quantum ESPRESSO input:
```
&SYSTEM
  ibrav = 0, nat = 4, ntyp = 4
/
ATOMIC_SPECIES
Pu 244.00 Pu.upf
Re 186.21 Re.upf
Lu 174.97 Lu.upf
Ru 101.07 Ru.upf
ATOMIC_POSITIONS angstrom
Pu 4.747 2.741 1.938
Re 7.120 4.111 2.907
Lu 0.000 0.000 0.000
Ru 2.373 1.370 0.969
CELL_PARAMETERS angstrom
4.747 0.000 0.000
2.373 4.111 0.000
2.373 1.370 3.876
```